The following is a GGA+U calculation of a geometry-optimized DyZnCrO4 structure, from Alexandria.

a b c (Å): 6.307 6.307 6.307
angles (deg): 121.32 117.65 90.93
Element x y z (fractional)
Dy 0.000 0.000 0.000
Dy 0.500 0.000 0.500
Zn 0.366 0.616 0.750
Zn 0.634 0.384 0.250
Cr 0.000 0.000 0.500
Cr 0.000 0.500 0.000
O 0.212 0.745 0.467
O 0.222 0.255 0.967
O 0.232 0.225 0.494
O 0.232 0.738 0.006
O 0.768 0.262 0.994
O 0.768 0.775 0.506
O 0.778 0.745 0.033
O 0.788 0.255 0.533

- calculated total energy (eV per cell) = -98.46
- total magnetization (Bohr magnetons per cell) = 6.00
- DOS(E_F) (states/eV per cell) = 0.00